# 1
{"formula": "GaCu2W", "functional": "PBE-GGA", "state": "optimized geometry", "lattice": [[-3.3852, 3.3852, 2.5939], [3.3852, -3.3852, 2.5939], [3.3852, 3.3852, -2.5939]], "species": ["Ga", "Ga", "Cu", "Cu", "Cu", "Cu", "W", "W"], "fractional_positions": [[0.0000, 0.0000, 0.0000], [0.7500, 0.2500, 0.5000], [0.1096, 0.1250, 0.4846], [0.3750, 0.8904, 0.0154], [0.6404, 0.6250, 0.5154], [0.8750, 0.3596, 0.9846], [0.2500, 0.7500, 0.5000], [0.5000, 0.5000, 0.0000]], "m_tot_mub_per_cell": 0.000, "sg": "No. 122", "dft_energy_ev_per_atom": -5.428}

***

# 2
{"formula": "Ga2CuW", "functional": "PBE-GGA", "state": "optimized geometry", "lattice": [[1.4215, 0.8207, 8.6063], [-1.4215, 0.8207, 8.6063], [0.0000, -1.6414, 8.6063]], "species": ["Ga", "Ga", "Cu", "W"], "fractional_positions": [[0.2461, 0.2461, 0.2461], [0.7539, 0.7539, 0.7539], [0.5000, 0.5000, 0.5000], [0.0000, 0.0000, 0.0000]], "m_tot_mub_per_cell": 0.000, "relative_energy_ev_per_atom": 0.000, "sg": "No. 166", "dft_energy_ev_per_atom": -5.676}

***

# 3
{"formula": "GaCu3W", "functional": "PBE-GGA", "state": "optimized geometry", "lattice": [[4.2889, 0.0000, 0.0000], [0.0000, 4.2889, 0.0000], [0.0000, 0.0000, 4.2889]], "species": ["Ga", "Cu", "Cu", "Cu", "W"], "fractional_positions": [[0.0000, 0.0000, 0.0000], [0.0000, 0.0000, 0.5000], [0.0000, 0.5000, 0.0000], [0.5000, 0.0000, 0.0000], [0.5000, 0.5000, 0.5000]], "m_tot_mub_per_cell": 0.000, "relative_energy_ev_per_atom": 0.000, "sg": "No. 221", "dft_energy_ev_per_atom": -4.439}

***

# 4
{"formula": "GaCu3W", "functional": "PBE-GGA", "state": "optimized geometry", "lattice": [[4.7698, 0.0000, 0.0000], [0.0000, 4.7698, 0.0000], [0.0000, 0.0000, 4.7698]], "species": ["Ga", "Cu", "Cu", "Cu", "W"], "fractional_positions": [[0.0000, 0.0000, 0.0000], [0.0000, 0.5000, 0.5000], [0.5000, 0.0000, 0.5000], [0.5000, 0.5000, 0.0000], [0.5000, 0.5000, 0.5000]], "m_tot_mub_per_cell": 0.000, "relative_energy_ev_per_atom": 0.306, "sg": "No. 221", "dft_energy_ev_per_atom": -4.133}

***

# 5
{"formula": "Ga6CuW", "functional": "PBE-GGA", "state": "optimized geometry", "lattice": [[3.8726, -2.7010, 0.0000], [3.8726, 2.7010, 0.0000], [-3.6825, 0.0000, 6.9539]], "species": ["Ga", "Ga", "Ga", "Ga", "Ga", "Ga", "Cu", "W"], "fractional_positions": [[0.0524, 0.5476, 0.1851], [0.1469, 0.1469, 0.4579], [0.4524, 0.9476, 0.8149], [0.5476, 0.0524, 0.1851], [0.8531, 0.8531, 0.5421], [0.9476, 0.4524, 0.8149], [0.5000, 0.5000, 0.0000], [0.5000, 0.5000, 0.5000]], "m_tot_mub_per_cell": 0.000, "sg": "No. 12", "dft_energy_ev_per_atom": -4.201}

***

# 6
{"formula": "Ga2CuW", "functional": "PBE-GGA", "state": "optimized geometry", "lattice": [[-3.3894, 3.3894, 2.7141], [3.3894, -3.3894, 2.7141], [3.3894, 3.3894, -2.7141]], "species": ["Ga", "Ga", "Ga", "Ga", "Cu", "Cu", "W", "W"], "fractional_positions": [[0.0957, 0.1250, 0.4707], [0.3750, 0.9043, 0.0293], [0.6543, 0.6250, 0.5293], [0.8750, 0.3457, 0.9707], [0.0000, 0.0000, 0.0000], [0.7500, 0.2500, 0.5000], [0.2500, 0.7500, 0.5000], [0.5000, 0.5000, 0.0000]], "m_tot_mub_per_cell": 0.000, "relative_energy_ev_per_atom": 0.354, "sg": "No. 122", "dft_energy_ev_per_atom": -5.322}

***

# 7
{"formula": "ZnGaCuW2", "functional": "PBE-GGA", "state": "optimized geometry", "lattice": [[4.5978, 0.0000, 0.0000], [0.0000, 4.5978, 0.0000], [0.0000, 0.0000, 4.2887]], "species": ["Zn", "Ga", "Cu", "W", "W"], "fractional_positions": [[0.0000, 0.0000, 0.0000], [0.5000, 0.5000, 0.0000], [0.0000, 0.0000, 0.5000], [0.0000, 0.5000, 0.5000], [0.5000, 0.0000, 0.5000]], "m_tot_mub_per_cell": 0.001, "sg": "No. 123", "dft_energy_ev_per_atom": -5.380}

***

# 8
{"formula": "YGa8Cu2", "functional": "PBE-GGA", "state": "optimized geometry", "lattice": [[6.3281, 0.0000, 0.0000], [0.0000, 6.3281, 0.0000], [0.0000, 0.0000, 5.4714]], "species": ["Y", "Ga", "Ga", "Ga", "Ga", "Ga", "Ga", "Ga", "Ga", "Cu", "Cu"], "fractional_positions": [[0.0000, 0.0000, 0.0000], [0.2898, 0.2898, 0.2501], [0.2898, 0.2898, 0.7499], [0.2898, 0.7102, 0.2501], [0.2898, 0.7102, 0.7499], [0.7102, 0.2898, 0.2501], [0.7102, 0.2898, 0.7499], [0.7102, 0.7102, 0.2501], [0.7102, 0.7102, 0.7499], [0.0000, 0.5000, 0.5000], [0.5000, 0.0000, 0.5000]], "m_tot_mub_per_cell": 0.000, "sg": "No. 123", "dft_energy_ev_per_atom": -3.551}

***

# 9
{"formula": "Y3Ga8Cu3", "functional": "PBE-GGA", "state": "optimized geometry", "lattice": [[-2.1294, 4.7056, 6.2243], [2.1294, -4.7056, 6.2243], [2.1294, 4.7056, -6.2243]], "species": ["Y", "Y", "Y", "Ga", "Ga", "Ga", "Ga", "Ga", "Ga", "Ga", "Ga", "Cu", "Cu", "Cu"], "fractional_positions": [[0.0000, 0.0000, 0.0000], [0.3024, 0.3024, 0.0000], [0.6976, 0.6976, 0.0000], [0.0186, 0.6547, 0.3639], [0.1587, 0.8693, 0.2893], [0.2908, 0.6547, 0.6361], [0.4200, 0.1307, 0.2893], [0.5800, 0.8693, 0.7107], [0.7092, 0.3453, 0.3639], [0.8413, 0.1307, 0.7107], [0.9814, 0.3453, 0.6361], [0.3138, 0.5000, 0.8138], [0.5000, 0.0000, 0.5000], [0.6862, 0.5000, 0.1862]], "m_tot_mub_per_cell": 0.000, "relative_energy_ev_per_atom": 0.000, "sg": "No. 71", "dft_energy_ev_per_atom": -4.478}

***

# 10
{"formula": "Y2GaCu", "functional": "PBE-GGA", "state": "optimized geometry", "lattice": [[3.4958, 0.0000, 0.0000], [0.0000, 3.4958, 0.0000], [0.0000, 0.0000, 7.2590]], "species": ["Y", "Y", "Ga", "Cu"], "fractional_positions": [[0.0000, 0.0000, 0.2409], [0.0000, 0.0000, 0.7591], [0.5000, 0.5000, 0.5000], [0.5000, 0.5000, 0.0000]], "m_tot_mub_per_cell": 0.000, "sg": "No. 123", "dft_energy_ev_per_atom": -5.439}

***

# 11
{"formula": "Y2GaCu", "functional": "PBE-GGA", "state": "optimized geometry", "lattice": [[5.8935, 0.0000, 0.0000], [0.0000, 4.2912, 0.0000], [-2.6123, 0.0000, 7.2888]], "species": ["Y", "Y", "Y", "Y", "Ga", "Ga", "Cu", "Cu"], "fractional_positions": [[0.2115, 0.2500, 0.4371], [0.2169, 0.2500, 0.9171], [0.7831, 0.7500, 0.0829], [0.7885, 0.7500, 0.5629], [0.3396, 0.7500, 0.2116], [0.6604, 0.2500, 0.7884], [0.3699, 0.7500, 0.7141], [0.6301, 0.2500, 0.2859]], "m_tot_mub_per_cell": 0.000, "sg": "No. 11", "dft_energy_ev_per_atom": -5.449}

***

# 12
{"formula": "YGa2Cu6", "functional": "PBE-GGA", "state": "optimized geometry", "lattice": [[-1.7316, 3.3848, 6.0793], [1.7316, -3.3848, 6.0793], [1.7316, 3.3848, -6.0793]], "species": ["Y", "Ga", "Ga", "Cu", "Cu", "Cu", "Cu", "Cu", "Cu"], "fractional_positions": [[0.0000, 0.0000, 0.0000], [0.3616, 0.8616, 0.5000], [0.6384, 0.1384, 0.5000], [0.0045, 0.3176, 0.6869], [0.3293, 0.5000, 0.8293], [0.3692, 0.6824, 0.6869], [0.6308, 0.3176, 0.3131], [0.6707, 0.5000, 0.1707], [0.9955, 0.6824, 0.3131]], "m_tot_mub_per_cell": 0.000, "sg": "No. 71", "dft_energy_ev_per_atom": -4.160}

***

In eV/atom, the formation enthalpy at 0 K values for the records above are, in order, 0.615, 0.100, 1.215, 1.521, 0.200, 0.453, 1.480, -0.017, -0.485, -0.426, -0.436, -0.038.